YRe2W: relaxed, PBE.

Cell lengths 9.8948, 9.8948, 9.8948 Å; angles 16.79, 16.79, 16.79 degrees
With the nearest neighbours (Å) after each atom.
Sites, in units of the cell vectors:
Y 0.0000 0.0000 0.0000  6 Y 2.89, 3 Re 3.15, 3 W 3.18
Re 0.4961 0.4961 0.4961  9 Re 2.68-2.89, 3 W 2.83
Re 0.7578 0.7578 0.7578  9 Re 2.68-2.89
W 0.2408 0.2408 0.2408  3 Re 2.83, 6 W 2.89

Summary:
**DFT formation energy**: 505.5 meV/atom
**Calculated total energy**: -42.29 eV/f.u.
**E above lowest polymorph**: 358 meV per atom
**Mass density**: 15.2 g/cm³

YReW2: relaxed, PBE.

Cell lengths 5.5220, 5.5220, 2.7368 Å; angles 90.00, 90.00, 120.32 degrees
With the nearest neighbours (Å) after each atom.
Sites, in units of the cell vectors:
Y 0.0000 0.0000 0.0000  2 Y 2.74, 2 Re 2.75
Re 0.5000 0.5000 0.0000  2 Re 2.74, 2 Y 2.75
W 0.0000 0.5000 0.5000  4 W 2.74-2.75
W 0.5000 0.0000 0.5000  4 W 2.74-2.75

Summary:
**DFT formation energy**: 660.4 meV/atom
**Calculated total energy**: -42.18 eV/f.u.
**E above lowest polymorph**: 373 meV per atom
**Mass density**: 14.8 g/cm³

How do the records compare in spin magnetization? In the order shown, they have 0.0000 0.0000 μB per atom.